Entry 1:
A relaxed structure of SmYHoIn. Source: Alexandria via LeMat-Bulk, functional PBE.

POSCAR file:
```
SmYHoIn
1.0
7.755 0.000 0.000
0.000 7.755 0.000
0.000 0.000 7.755
Sm Y Ho In
4 4 4 4
Cartesian
0.000 0.000 0.000
0.000 3.877 3.877
3.877 0.000 3.877
3.877 3.877 0.000
0.000 0.000 3.877
0.000 3.877 0.000
3.877 0.000 0.000
3.877 3.877 3.877
1.939 1.939 1.939
1.939 5.816 5.816
5.816 1.939 5.816
5.816 5.816 1.939
1.939 1.939 5.816
1.939 5.816 1.939
5.816 1.939 1.939
5.816 5.816 5.816
```

Summary:
Crystal system: cubic
Distance to the lowest polymorph of the same formula, eV per formula unit: 0.491
Formation energy from the elements, meV/atom: -146
Raw total energy, Ry/atom: -0.35067

---

Entry 2:
A relaxed structure of FeTc2Ni. Source: Alexandria via LeMat-Bulk, functional PBE.

POSCAR file:
```
FeTc2Ni
1.0
2.681 0.000 0.000
-1.341 2.322 0.000
0.000 0.000 25.625
Fe Tc Ni
3 6 3
Cartesian
0.000 0.000 0.000
0.000 1.548 17.084
1.341 0.774 8.542
0.000 0.000 12.930
0.000 0.000 19.318
0.000 1.548 4.388
0.000 1.548 10.776
1.341 0.774 2.235
1.341 0.774 21.471
0.000 0.000 6.580
0.000 1.548 23.664
1.341 0.774 15.122
```

Summary:
Crystal system: trigonal
Distance to the lowest polymorph of the same formula, eV per formula unit: 0.517
Formation energy from the elements, meV/atom: 108
Raw total energy, Ry/atom: -0.63472

---

Entry 3:
A relaxed structure of Ho2ThTl. Source: Alexandria via LeMat-Bulk, functional PBE.

POSCAR file:
```
Ho2ThTl
1.0
4.927 0.000 0.000
0.000 4.927 0.000
0.000 0.000 4.771
Ho Th Tl
2 1 1
Cartesian
0.000 2.464 0.000
2.464 0.000 0.000
0.000 0.000 2.385
2.464 2.464 2.385
```

Summary:
Crystal system: tetragonal
Distance to the lowest polymorph of the same formula, eV per formula unit: 0.286
Formation energy from the elements, meV/atom: -115
Raw total energy, Ry/atom: -0.35651

---

Entry 4:
A relaxed structure of LaPr8Sm3. Source: Alexandria via LeMat-Bulk, functional PBE.

POSCAR file:
```
LaPr8Sm3
1.0
-3.248 4.500 7.441
3.248 -4.500 7.441
3.248 4.500 -7.441
La Pr Sm
1 8 3
Cartesian
0.000 0.000 0.000
1.048 -1.328 3.220
4.122 1.533 -1.409
2.374 1.533 1.409
2.200 5.828 -4.220
2.200 3.173 4.220
-0.874 2.967 6.032
0.874 2.967 8.850
1.048 1.328 11.661
3.248 0.000 5.718
0.000 0.000 7.441
0.000 4.500 1.723
```

Summary:
Crystal system: orthorhombic
Formation energy from the elements, meV/atom: 265
Raw total energy, Ry/atom: -0.33162

---

Entry 5:
A relaxed structure of Pr6SmSn. Source: Alexandria via LeMat-Bulk, functional PBE.

POSCAR file:
```
Pr6SmSn
1.0
5.051 0.000 0.000
0.000 5.051 0.000
0.000 0.000 10.480
Pr Sm Sn
6 1 1
Cartesian
0.000 0.000 0.000
0.000 0.000 5.240
0.000 2.525 2.512
0.000 2.525 7.968
2.525 0.000 2.512
2.525 0.000 7.968
2.525 2.525 5.240
2.525 2.525 0.000
```

Summary:
Crystal system: tetragonal
Formation energy from the elements, meV/atom: -196
Raw total energy, Ry/atom: -0.35803

---

Entry 6:
A relaxed structure of Tb4Pr3Dy5. Source: Alexandria via LeMat-Bulk, functional PBE.

POSCAR file:
```
Tb4Pr3Dy5
1.0
6.216 0.000 0.000
0.023 7.178 0.000
0.023 0.002 8.796
Tb Pr Dy
4 3 5
Cartesian
1.044 0.002 2.920
2.092 5.392 5.866
4.170 1.788 2.930
5.219 7.178 5.876
2.093 1.789 5.858
3.119 3.589 0.000
4.169 5.391 2.938
0.048 5.395 8.794
1.043 3.587 2.925
3.108 0.000 0.000
5.219 3.593 5.871
6.214 1.785 0.003
```

Summary:
Crystal system: triclinic
Distance to the lowest polymorph of the same formula, eV per formula unit: 0.000
Formation energy from the elements, meV/atom: 17
Raw total energy, Ry/atom: -0.34097

---

Entry 7:
A relaxed structure of NaPdAu. Source: Alexandria via LeMat-Bulk, functional PBE.

POSCAR file:
```
NaPdAu
1.0
7.360 0.000 0.000
0.000 7.360 0.000
0.000 0.000 5.573
Na Pd Au
4 4 4
Cartesian
1.776 1.776 0.000
1.904 5.456 1.393
5.456 1.904 4.180
5.584 5.584 2.787
0.223 0.223 2.787
3.457 3.903 4.180
3.903 3.457 1.393
7.137 7.137 0.000
1.597 5.763 4.180
2.083 2.083 2.787
5.277 5.277 0.000
5.763 1.597 1.393
```

Summary:
Crystal system: tetragonal
Distance to the lowest polymorph of the same formula, eV per formula unit: 0.912
Formation energy from the elements, meV/atom: -3
Raw total energy, Ry/atom: -0.24003

---

Entry 8:
A relaxed structure of Mg2GePd2. Source: Alexandria via LeMat-Bulk, functional PBE.

POSCAR file:
```
Mg2GePd2
1.0
6.590 0.000 0.000
0.000 6.590 0.000
0.000 0.000 4.068
Mg Ge Pd
4 2 4
Cartesian
1.053 2.242 0.000
2.242 5.537 0.000
4.348 1.053 0.000
5.537 4.348 0.000
0.000 0.000 2.034
3.295 3.295 2.034
0.989 4.284 2.034
2.306 0.989 2.034
4.284 5.601 2.034
5.601 2.306 2.034
```

Summary:
Crystal system: tetragonal
Distance to the lowest polymorph of the same formula, eV per formula unit: 0.185
Formation energy from the elements, meV/atom: -525
Raw total energy, Ry/atom: -0.30603

---

Entry 9:
A relaxed structure of TbPr3Dy2Te6. Source: Alexandria via LeMat-Bulk, functional PBE.

POSCAR file:
```
TbPr3Dy2Te6
1.0
9.748 -2.196 0.000
9.748 2.196 0.000
-2.301 0.000 8.708
Tb Pr Dy Te
1 3 2 6
Cartesian
0.000 0.000 0.000
-1.151 0.000 4.354
6.129 0.000 1.455
11.065 0.000 7.253
4.968 0.000 5.811
12.225 0.000 2.897
2.989 0.000 0.800
1.993 0.000 5.006
7.936 0.000 6.592
9.258 0.000 2.116
15.200 0.000 3.702
14.205 0.000 7.908
```

Summary:
Crystal system: monoclinic
Formation energy (no corrections), eV/atom: -1.370
Raw total energy, Ry/atom: -0.38871

---

Entry 10:
A relaxed structure of Rb3Ca2CeSe6. Source: Alexandria via LeMat-Bulk, functional PBE.

POSCAR file:
```
Rb3Ca2CeSe6
1.0
3.780 -6.544 0.000
3.780 6.544 0.000
-2.516 0.000 7.933
Rb Ca Ce Se
3 2 1 6
Cartesian
0.000 0.000 0.000
3.780 2.228 0.000
3.780 -2.228 0.000
2.522 4.368 3.966
2.522 -4.368 3.966
2.522 0.000 3.966
1.304 2.108 2.412
0.092 0.000 5.531
1.304 -2.108 2.412
3.740 2.108 5.520
4.952 0.000 2.402
3.740 -2.108 5.520
```

Summary:
Crystal system: monoclinic
Formation energy (no corrections), eV/atom: -1.509
Raw total energy, Ry/atom: -0.31761

---

Entry 11:
A relaxed structure of LaGePdN. Source: Alexandria via LeMat-Bulk, functional PBE.

POSCAR file:
```
LaGePdN
1.0
4.000 0.000 0.000
0.000 4.000 0.000
0.000 0.000 8.928
La Ge Pd N
2 2 2 2
Cartesian
1.000 1.000 1.301
3.000 3.000 7.627
1.000 1.000 5.968
3.000 3.000 2.960
1.000 3.000 4.464
3.000 1.000 4.464
1.000 1.000 7.871
3.000 3.000 1.057
```

Summary:
Crystal system: tetragonal
Formation energy (no corrections), eV/atom: -0.927
Raw total energy, Ry/atom: -0.49191

---

Entry 12:
A relaxed structure of Cs2TmHgCl6. Source: Alexandria via LeMat-Bulk, functional PBE.

POSCAR file:
```
Cs2TmHgCl6
1.0
7.888 0.000 0.000
0.000 11.139 0.000
0.000 0.000 7.888
Cs Tm Hg Cl
4 2 2 12
Cartesian
1.972 11.134 1.969
1.972 5.574 1.969
5.916 0.005 5.919
5.916 5.565 5.919
1.972 2.785 5.911
5.916 8.354 1.977
1.972 8.354 5.922
5.916 2.785 1.967
0.130 2.785 7.752
0.131 2.785 4.071
1.972 0.181 5.916
1.972 5.389 5.916
3.813 2.785 4.071
3.814 2.785 7.752
4.074 8.354 0.137
4.075 8.354 3.818
5.916 5.750 1.973
5.916 10.958 1.973
7.757 8.354 3.818
7.758 8.354 0.137
```

Summary:
Crystal system: orthorhombic
Formation energy (no corrections), eV/atom: -1.774
Raw total energy, Ry/atom: -0.25949

---

Entry 13:
A relaxed structure of Tb6Ce2Ho5. Source: Alexandria via LeMat-Bulk, functional PBE.

POSCAR file:
```
Tb6Ce2Ho5
1.0
11.380 0.000 0.000
0.000 20.615 0.000
0.000 0.000 3.542
Tb Ce Ho
12 4 10
Cartesian
0.782 3.013 0.000
0.962 9.031 0.000
2.076 18.042 1.771
3.615 7.734 1.771
4.729 19.338 0.000
4.908 13.321 0.000
6.472 7.294 0.000
6.652 1.277 0.000
7.766 12.880 1.771
9.305 2.573 1.771
10.419 11.584 0.000
10.598 17.601 0.000
2.161 15.126 0.000
3.529 4.819 0.000
7.851 15.796 0.000
9.219 5.489 0.000
0.000 0.000 1.771
0.747 6.044 1.771
2.105 11.952 1.771
3.585 1.645 1.771
4.943 16.351 1.771
5.690 10.307 1.771
6.438 4.264 1.771
7.796 18.970 1.771
9.275 8.662 1.771
10.633 14.571 1.771
```

Summary:
Crystal system: orthorhombic
Formation energy from the elements, meV/atom: 133
Raw total energy, Ry/atom: -0.34382

---

Entry 14:
A relaxed structure of LaSnAu. Source: Alexandria via LeMat-Bulk, functional PBE.

POSCAR file:
```
LaSnAu
1.0
2.457 1.419 8.049
-2.457 1.419 8.049
0.000 -2.837 8.049
La Sn Au
2 2 2
Cartesian
0.000 0.000 5.724
0.000 0.000 18.423
0.000 0.000 0.000
0.000 0.000 12.074
0.000 0.000 9.037
0.000 0.000 15.110
```

Summary:
Crystal system: trigonal
Formation energy from the elements, meV/atom: -739
Raw total energy, Ry/atom: -0.35342

---

Entry 15:
A relaxed structure of Pm3PtN. Source: Alexandria via LeMat-Bulk, functional PBE.

POSCAR file:
```
Pm3PtN
1.0
4.872 0.000 0.000
0.000 4.872 0.000
0.000 0.000 4.872
Pm Pt N
3 1 1
Cartesian
0.000 0.000 2.436
0.000 2.436 0.000
2.436 0.000 0.000
2.436 2.436 2.436
0.000 0.000 0.000
```

Summary:
Crystal system: cubic
Formation energy (no corrections), eV/atom: -0.862
Raw total energy, Ry/atom: -0.48404

---

Entry 16:
A relaxed structure of La2ScSbW. Source: Alexandria via LeMat-Bulk, functional PBE.

POSCAR file:
```
La2ScSbW
1.0
5.966 0.000 0.000
0.000 5.966 0.000
0.000 0.000 5.210
La Sc Sb W
2 1 1 1
Cartesian
0.000 2.983 0.000
2.983 0.000 0.000
0.000 0.000 2.605
0.000 0.000 0.000
2.983 2.983 2.605
```

Summary:
Crystal system: tetragonal
Formation energy (no corrections), eV/atom: 0.961
Raw total energy, Ry/atom: -0.41834

---

Entry 17:
A relaxed structure of MnTePt2. Source: Alexandria via LeMat-Bulk, functional PBE.

POSCAR file:
```
MnTePt2
1.0
9.177 0.000 0.000
0.000 3.751 0.000
-1.253 0.000 4.158
Mn Te Pt
2 2 4
Cartesian
0.000 0.000 0.000
4.588 1.875 0.000
1.347 0.000 2.743
5.935 1.875 2.743
1.961 1.875 0.618
3.928 0.000 1.973
6.549 0.000 0.618
8.516 1.875 1.973
```

Summary:
Crystal system: monoclinic
Formation energy (no corrections), eV/atom: -0.057
Raw total energy, Ry/atom: -0.45238

---

Entry 18:
A relaxed structure of AlZnGe2Bi. Source: Alexandria via LeMat-Bulk, functional PBE.

POSCAR file:
```
AlZnGe2Bi
1.0
5.580 0.000 0.000
0.000 5.580 0.000
0.000 0.000 5.466
Al Zn Ge Bi
1 1 2 1
Cartesian
0.000 0.000 0.000
2.790 2.790 0.000
0.000 2.790 2.733
2.790 0.000 2.733
0.000 0.000 2.733
```

Summary:
Crystal system: tetragonal
Formation energy from the elements, meV/atom: 1110
Raw total energy, Ry/atom: -0.18496

---

Entry 19:
A relaxed structure of Mn2CdIn. Source: Alexandria via LeMat-Bulk, functional PBE.

POSCAR file:
```
Mn2CdIn
1.0
6.063 0.000 0.000
0.000 7.703 0.000
-0.008 0.000 3.036
Mn Cd In
4 2 2
Cartesian
1.516 1.926 0.000
1.516 5.777 0.000
4.547 1.926 0.000
4.547 5.777 0.000
-0.004 0.000 1.518
3.028 3.852 1.518
-0.004 3.852 1.518
3.028 0.000 1.518
```

Summary:
Crystal system: monoclinic
Formation energy from the elements, meV/atom: 258
Raw total energy, Ry/atom: -0.38516

---

Entry 20:
A relaxed structure of PrCdSbSe. Source: Alexandria via LeMat-Bulk, functional PBE.

POSCAR file:
```
PrCdSbSe
1.0
4.788 0.000 0.000
0.000 4.788 0.000
0.000 0.000 9.910
Pr Cd Sb Se
2 2 2 2
Cartesian
1.197 1.197 1.678
3.591 3.591 8.232
1.197 3.591 4.955
3.591 1.197 4.955
1.197 1.197 6.810
3.591 3.591 3.100
1.197 3.591 0.000
3.591 1.197 0.000
```

Summary:
Crystal system: tetragonal
Formation energy (no corrections), eV/atom: -0.863
Raw total energy, Ry/atom: -0.30782

---

Entry 21:
A relaxed structure of CdNi6H3. Source: Alexandria via LeMat-Bulk, functional PBE.

POSCAR file:
```
CdNi6H3
1.0
4.400 0.000 0.000
-1.123 4.485 0.000
-0.483 -0.785 4.688
Cd Ni H
1 6 3
Cartesian
0.000 0.000 0.000
-0.031 0.928 2.629
0.528 2.545 0.766
0.511 3.353 3.184
2.162 0.550 1.381
2.141 1.228 3.966
2.683 2.924 2.038
0.581 1.841 3.886
2.888 0.014 2.760
3.234 1.869 0.878
```

Summary:
Crystal system: triclinic
Raw total energy, Ry/atom: -0.33287

---

Entry 22:
A relaxed structure of Pm6GeRu. Source: Alexandria via LeMat-Bulk, functional PBE.

POSCAR file:
```
Pm6GeRu
1.0
7.223 0.000 0.000
0.000 11.161 0.000
-2.107 0.000 6.651
Pm Ge Ru
12 2 2
Cartesian
1.099 1.928 1.629
1.099 9.232 1.629
0.191 0.000 5.098
1.314 5.580 1.553
0.406 3.652 5.022
0.406 7.508 5.022
4.710 3.652 1.629
4.710 7.508 1.629
4.925 0.000 1.553
3.802 5.580 5.098
4.017 1.928 5.022
4.017 9.232 5.022
-1.053 5.580 3.326
2.558 0.000 3.326
0.000 0.000 0.000
3.611 5.580 0.000
```

Summary:
Crystal system: monoclinic
Formation energy from the elements, meV/atom: -126
Raw total energy, Ry/atom: -0.39879

---

Entry 23:
A relaxed structure of Pa5As4H. Source: Alexandria via LeMat-Bulk, functional PBE.

POSCAR file:
```
Pa5As4H
1.0
-4.440 4.440 2.873
4.440 -4.440 2.873
4.440 4.440 -2.873
Pa As H
5 4 1
Cartesian
0.000 0.000 0.000
5.309 1.976 0.036
1.976 3.570 0.036
2.464 0.869 2.909
-0.869 2.464 2.909
2.733 0.782 0.035
3.658 -1.707 2.908
0.782 6.146 0.035
1.707 3.658 2.908
0.000 0.000 3.299
```

Summary:
Crystal system: tetragonal
Raw total energy, Ry/atom: -0.56313